A plane-wave DFT calculation with GGA-PBEsol was carried out for crystalline BaTeN2F at its relaxed geometry.

Cell and atoms, written as POSCAR:
```
BaTeN2F
1.0
-2.8953 -2.9156 3.1978
-0.3328 -3.6861 -3.6622
5.7634 -2.9933 2.4891
N Te Ba F
2 1 1 1
Cartesian
-0.1664 -1.8431 -1.8311
-1.4477 -1.4578 1.5989
2.8817 -1.4966 1.2445
0.0000 0.0000 0.0000
1.2677 -4.7975 1.0124
```

Computed properties:
The formation energy without anion corrections comes out at 1.4325 eV/atom. As for the density of states at the Fermi level: 2.87 states/eV per cell.